Si2RuBr | Alexandria | PBE | relaxed; energy above the lowest structure with this stoichiometry = 59.1 kJ/mol of atoms; crystal system = orthorhombic; calculated density = 6.210 Mg/m³
1.0
-4.137 -1.513 1.529
3.146 -1.395 3.146
-0.382 2.595 1.533
Br Ru Si
1 1 2
Cartesian
-2.260 0.541 1.531
1.382 0.600 2.340
0.000 0.000 0.000
-0.495 -1.454 2.337

***

PmTmCu | Alexandria | PBE | relaxed; energy above the lowest structure with this stoichiometry = 19.8 kJ/mol of atoms; crystal system = cubic; ΔH_f (0 K) = 0.20 eV per formula unit; calculated density = 7.662 Mg/m³
1.0
4.873 0.000 0.000
2.436 4.220 0.000
2.436 1.407 3.978
Tm Cu Pm
1 1 1
Cartesian
0.000 0.000 0.000
2.436 1.407 0.995
4.873 2.813 1.989

***

Ce3Sb3Se | Alexandria | PBE | relaxed; energy = -5.76 eV/atom; crystal system = monoclinic; calculated density = 6.349 Mg/m³
1.0
7.921 0.129 0.322
-3.413 7.149 0.322
-0.349 -0.563 7.875
Ce Sb Se
6 6 2
Cartesian
4.106 6.629 2.325
4.779 3.362 6.124
0.881 5.776 6.124
-0.620 3.353 2.395
3.278 0.939 2.395
0.053 0.086 6.193
2.550 4.117 3.214
-1.702 5.700 4.259
5.861 1.015 4.259
-1.048 5.684 0.322
5.556 1.594 0.322
1.609 2.598 5.305
3.026 4.886 7.703
1.133 1.829 0.816

***

Nb2CuPt | Alexandria | PBE | relaxed; energy above the lowest structure with this stoichiometry = 46.2 kJ/mol of atoms; crystal system = tetragonal; ΔH_f (0 K) = 0.72 eV per formula unit; calculated density = 10.740 Mg/m³
1.0
-4.439 5.477 1.703
0.851 -1.501 7.044
0.249 3.613 4.473
Nb Cu Pt
4 2 2
Cartesian
-2.571 4.095 3.050
0.004 0.693 5.747
-1.152 4.189 6.691
-2.960 6.200 10.954
-1.794 1.988 4.374
-0.347 2.050 7.946
0.000 0.000 0.000
-2.992 5.539 5.275

***

AcPm12Er7 | Alexandria | PBE | relaxed; energy above the lowest structure with this stoichiometry = 41.3 kJ/mol of atoms; crystal system = cubic; ΔH_f (0 K) = 13.02 eV per formula unit; calculated density = 6.675 Mg/m³
1.0
-3.349 5.395 -7.785
-6.514 -7.380 2.009
0.913 5.944 8.048
Ac Pm Er
1 12 7
Cartesian
0.000 0.000 0.000
-5.637 1.406 3.752
-4.527 -3.761 3.632
-3.313 2.553 -1.480
-4.423 7.719 -1.360
-8.683 -1.831 -1.502
-4.761 4.885 1.142
-0.267 5.789 3.774
-4.189 -0.926 1.130
-6.771 1.303 -0.536
-2.179 2.655 2.808
-4.219 1.958 -5.118
-4.731 2.001 7.390
-4.931 -0.993 -2.888
-2.800 -0.718 5.029
-1.218 5.670 0.131
-4.475 1.979 1.136
0.456 2.972 4.024
-1.675 2.698 -3.893
-3.257 -3.690 1.005

***

SmFeCuH6 | Alexandria | PBE | relaxed; energy = -4.41 eV/atom; crystal system = hexagonal; calculated density = 6.306 Mg/m³
1.0
-4.196 1.079 1.031
-2.540 -2.863 2.277
1.331 1.707 3.632
Sm Fe Cu H
1 1 1 6
Cartesian
-4.196 1.079 1.031
-1.580 0.259 2.919
-3.825 -0.336 4.021
-1.021 -0.949 2.023
-1.103 1.740 3.306
-2.274 0.421 4.355
-0.341 -0.076 3.880
-2.954 -0.452 2.498
-1.784 0.868 1.449

***

| no. | magnetic moment (μB per formula unit) |
| --- | --- |
| 1 | 0.0 |
| 2 | 0.0 |
| 3 | 2.0 |
| 4 | 0.0 |
| 5 | 0.0 |
| 6 | 0.6 |